An optimized crystal structure of LiSe3Br. Source: the Alexandria database, functional PBE-GGA.

Cell and atoms, written as POSCAR:
```
LiSe3Br
1.0
4.778 0.000 0.000
0.000 4.778 0.000
0.000 0.000 4.778
Li Se Br
1 3 1
Cartesian
0.000 0.000 0.000 Li
0.000 0.000 2.389 Se
0.000 2.389 0.000 Se
2.389 0.000 0.000 Se
2.389 2.389 2.389 Br
```

## Properties
As for the density of states at the Fermi level: 1.389 states/eV per atom. The uncorrected formation energy comes out at 0.40 eV per atom. As for the energy relative to the lowest polymorph listed for this composition: 0 meV/atom. As for the volume: 109 Å³/cell.